Entry 1:
Material: La3Pm6Sm2Sc
Method: DFT, PBE
State: relaxed

Cell lengths 6.300, 6.300, 12.086 Å; angles 95.01, 95.01, 120.03 degrees
Positions (direct):
La 0.000 0.000 0.000
La 0.333 0.667 0.000
La 0.667 0.333 0.000
Pm 0.090 0.420 0.257
Pm 0.251 0.251 0.744
Pm 0.420 0.090 0.257
Pm 0.580 0.910 0.743
Pm 0.749 0.749 0.256
Pm 0.910 0.580 0.743
Sm 0.167 0.833 0.500
Sm 0.833 0.167 0.500
Sc 0.500 0.500 0.500

Properties
Magnetization ... 0.00 μB per atom
Space group ... C2/m (12)
Theoretical density ... 6.6 g cm⁻³
Calculated formation energy ... 0.032 eV per atom

=====

Entry 2:
Material: LiSi3S
Method: DFT, PBE
State: relaxed

Cell lengths 4.431, 4.431, 4.431 Å; angles 90.00, 90.00, 90.00 degrees
Positions (direct):
Li 0.000 0.000 0.000
Si 0.000 0.000 0.500
Si 0.000 0.500 0.000
Si 0.500 0.000 0.000
S 0.500 0.500 0.500

Properties
Magnetization ... 0.00 μB per atom
Space group ... Pm-3m (221)
Uncorrected formation energy ... 0.89 eV/atom
Theoretical density ... 2.4 g cm⁻³

=====

Entry 3:
Material: CrSi2W
Method: DFT, PBE
State: relaxed

Cell lengths 8.014, 8.014, 8.014 Å; angles 20.65, 20.65, 20.65 degrees
Positions (direct):
Cr 0.000 0.000 0.000
Si 0.257 0.257 0.257
Si 0.502 0.502 0.502
W 0.750 0.750 0.750

Properties
Magnetization ... 0.00 μB per atom
Space group ... R3m (160)
Uncorrected formation energy ... 0.12 eV/atom
Theoretical density ... 8.7 g cm⁻³

=====

Entry 4:
Material: Y2Co2Pd
Method: DFT, PBE
State: relaxed

Cell lengths 6.897, 6.897, 3.883 Å; angles 90.00, 90.00, 90.00 degrees
Positions (direct):
Y 0.183 0.317 0.000
Y 0.317 0.817 0.000
Y 0.683 0.183 0.000
Y 0.817 0.683 0.000
Co 0.115 0.615 0.500
Co 0.385 0.115 0.500
Co 0.615 0.885 0.500
Co 0.885 0.385 0.500
Pd 0.000 0.000 0.500
Pd 0.500 0.500 0.500

Properties
Magnetization ... 0.14 μB per atom
Space group ... P4/mbm (127)
Theoretical density ... 7.2 g cm⁻³
Calculated formation energy ... -0.335 eV per atom

=====

Entry 5:
Material: DyY2Zn
Method: DFT, PBE
State: relaxed

Cell lengths 3.576, 3.576, 8.640 Å; angles 90.00, 90.00, 90.00 degrees
Positions (direct):
Dy 0.000 0.000 0.000
Y 0.500 0.500 0.294
Y 0.500 0.500 0.706
Zn 0.000 0.000 0.500

Properties
Magnetization ... 0.00 μB per atom
Space group ... P4/mmm (123)
Theoretical density ... 6.1 g cm⁻³
Calculated formation energy ... -0.163 eV per atom

=====

Entry 6:
Material: CeNd6Hg2
Method: DFT, PBE
State: relaxed

Cell lengths 6.750, 6.750, 12.281 Å; angles 106.83, 106.83, 32.74 degrees
Positions (direct):
Ce 0.000 0.000 0.000
Nd 0.025 0.025 0.338
Nd 0.313 0.313 0.411
Nd 0.321 0.321 0.123
Nd 0.679 0.679 0.877
Nd 0.687 0.687 0.589
Nd 0.975 0.975 0.662
Hg 0.353 0.353 0.800
Hg 0.647 0.647 0.200

Properties
Magnetization ... 0.13 μB per atom
Space group ... C2/m (12)
Theoretical density ... 8.1 g cm⁻³
Calculated formation energy ... -0.166 eV per atom

=====

Entry 7:
Material: La2HgIrPb
Method: DFT, PBE
State: relaxed

Cell lengths 5.490, 5.490, 5.260 Å; angles 90.00, 90.00, 90.00 degrees
Positions (direct):
La 0.000 0.500 0.000
La 0.500 0.000 0.000
Hg 0.000 0.000 0.500
Ir 0.000 0.000 0.000
Pb 0.500 0.500 0.500

Properties
Magnetization ... 0.00 μB per atom
Space group ... P4/mmm (123)
Theoretical density ... 9.2 g cm⁻³
Calculated formation energy ... -0.451 eV per atom

=====

Entry 8:
Material: Sr3GeI
Method: DFT, PBE
State: relaxed

Cell lengths 6.138, 6.138, 6.138 Å; angles 90.00, 90.00, 90.00 degrees
Positions (direct):
Sr 0.000 0.000 0.500
Sr 0.000 0.500 0.000
Sr 0.500 0.000 0.000
Ge 0.000 0.000 0.000
I 0.500 0.500 0.500

Properties
Magnetization ... 0.00 μB per atom
Space group ... Pm-3m (221)
Uncorrected formation energy ... -0.59 eV/atom
Theoretical density ... 3.3 g cm⁻³